(1)
## Hf2PaTl (GGA-PBE)

Data for an optimized crystal structure of Hf2PaTl.

Results
E_tot ... -7.83 eV per atom
E_form ... 0.45 eV/f.u.

a b c (Å): 4.1141 4.7340 4.7340
angles (deg): 90.00 90.00 90.00
Atoms (fractional coordinates):
Pa: 0.5000 0.5000 0.5000
Tl: 0.5000 0.0000 0.0000
Hf: 0.0000 0.5000 0.0000
Hf: 0.0000 0.0000 0.5000



(2)
## LaZn3B (GGA-PBE)

Data for an optimized crystal structure of LaZn3B.

Results
E_tot ... -1.25 eV per atom
E_form ... 9.16 eV/f.u.

a b c (Å): 5.7947 5.7947 5.7947
angles (deg): 90.00 90.00 90.00
Atoms (fractional coordinates):
Zn: 0.0000 0.0000 0.5000
Zn: 0.5000 0.0000 0.0000
Zn: 0.0000 0.5000 0.0000
B: 0.5000 0.5000 0.5000
La: 0.0000 0.0000 0.0000



(3)
## HoAlRu (GGA-PBE)

Data for an optimized crystal structure of HoAlRu.

Results
E_tot ... -6.37 eV per atom
E_form ... -1.53 eV/f.u.

a b c (Å): 3.2815 3.2815 5.7015
angles (deg): 106.72 106.72 90.00
Atoms (fractional coordinates):
Ru: 0.6890 0.6890 0.3780
Al: 0.2992 0.2992 0.5983
Ho: 0.0118 0.0118 0.0237



(4)
## Na4F5 (GGA-PBE)

Data for an optimized crystal structure of Na4F5.

Results
E_tot ... -3.93 eV per atom

a b c (Å): 3.1148 6.4741 6.8886
angles (deg): 118.03 103.07 90.00
Atoms (fractional coordinates):
F: 0.0000 0.0012 0.0000
F: 0.0000 0.6667 0.0000
F: 0.0000 0.3322 0.0000
F: 0.7601 0.4286 0.5238
F: 0.2399 0.9048 0.4762
Na: 0.3691 0.3095 0.7386
Na: 0.6309 0.0238 0.2614
Na: 0.3691 0.7624 0.7386
Na: 0.6309 0.5710 0.2614



(5)
## Nb2Tc2Ni (GGA-PBE)

Data for an optimized crystal structure of Nb2Tc2Ni.

Results
E_tot ... -9.17 eV per atom
E_form ... 0.82 eV/f.u.

a b c (Å): 6.3882 6.3882 3.9924
angles (deg): 90.00 90.00 90.00
Atoms (fractional coordinates):
Nb: 0.8152 0.3152 0.5000
Nb: 0.6848 0.8152 0.5000
Nb: 0.1848 0.6848 0.5000
Nb: 0.3152 0.1848 0.5000
Ni: 0.0000 0.0000 0.0000
Ni: 0.5000 0.5000 0.0000
Tc: 0.3651 0.8651 0.0000
Tc: 0.8651 0.6349 0.0000
Tc: 0.6349 0.1349 0.0000
Tc: 0.1349 0.3651 0.0000



(6)
## TlGaReMo2 (GGA-PBE)

Data for an optimized crystal structure of TlGaReMo2.

Results
E_tot ... -5.06 eV per atom
E_form ... 14.20 eV/f.u.

a b c (Å): 5.0318 4.6213 5.0318
angles (deg): 90.00 90.00 90.00
Atoms (fractional coordinates):
Mo: 0.0000 0.0000 0.5000
Mo: 0.5000 0.0000 0.0000
Tl: 0.0000 0.0000 0.0000
Re: 0.5000 0.5000 0.5000
Ga: 0.0000 0.5000 0.0000